[1]
DFT (GGA-PBE) results for Nd8GeS6 after structural relaxation.

Output
ΔE_f (raw): -1.526 eV per atom
space group: P-3

```
Nd8GeS6
1.0
4.123 0.000 0.000
0.000 9.076 -5.240
0.000 0.000 10.480
Nd Ge S
8 1 6
Cartesian
3.073 8.775 -1.966
3.073 6.392 3.342
3.073 2.986 -1.376
1.050 0.301 7.207
1.050 2.684 1.898
1.050 6.090 6.616
3.087 3.025 5.240
1.036 6.051 0.000
2.061 0.000 0.000
3.096 5.916 -2.007
3.096 7.856 0.887
3.096 4.381 1.120
1.027 3.160 7.247
1.027 1.220 4.354
1.027 4.696 4.120
```

---

[2]
DFT (GGA-PBE) results for Nd2GeS after structural relaxation.

Output
ΔE_f (raw): -1.309 eV per atom
space group: R3m

```
Nd2GeS
1.0
-2.143 0.980 3.402
-3.862 -1.403 0.489
0.568 -6.056 4.619
Nd Ge S
2 1 1
Cartesian
-0.057 -4.619 3.812
-1.389 -1.551 2.089
-3.441 -6.325 7.205
-2.700 -3.281 4.278
```

---

[3]
DFT (GGA-PBE) results for Nd4Ge2S after structural relaxation.

Output
ΔE_f (raw): -1.070 eV per atom
space group: I-42d

```
Nd4Ge2S
1.0
7.387 0.000 -2.553
-3.722 6.348 -2.631
0.058 0.000 7.815
Nd Ge S
8 4 2
Cartesian
-2.377 5.572 0.345
1.871 4.694 0.372
5.038 3.950 1.700
1.004 1.520 5.547
1.842 4.828 -3.535
4.697 1.654 4.270
3.254 0.776 0.275
-0.439 2.398 1.551
6.018 0.810 1.358
2.325 2.365 2.634
-0.434 5.539 2.589
-0.463 3.984 -1.319
0.000 0.000 0.000
3.693 3.174 -1.276
```

---

[4]
DFT (GGA-PBE) results for Nd2GeS4 after structural relaxation.

Output
ΔE_f (raw): -1.244 eV per atom
space group: I-42m

```
Nd2GeS4
1.0
-1.480 4.026 -5.288
-5.975 -3.178 -0.748
2.086 2.101 5.400
Nd Ge S
2 1 4
Cartesian
-1.560 3.276 -1.453
-3.808 -0.327 0.817
-3.727 0.424 -3.018
-2.771 2.613 -3.891
-5.102 -1.122 -1.538
-3.364 2.423 0.514
0.500 1.983 3.643
```

---

[5]
DFT (GGA-PBE) results for Nd6Ge2SbS3 after structural relaxation.

Output
ΔE_f (raw): -1.492 eV per atom
space group: C2/m

```
Nd6Ge2SbS3
1.0
-1.670 -3.890 0.396
1.736 0.100 8.298
-7.642 5.551 -0.520
Nd Ge Sb S
6 2 1 3
Cartesian
-3.978 2.456 7.343
-2.658 -0.679 4.938
-3.598 -0.694 0.831
0.435 0.037 2.197
-8.011 1.725 5.977
-4.918 2.441 3.236
-5.328 0.525 5.507
-2.248 1.237 2.667
-0.835 -1.945 0.198
0.033 -1.895 4.347
-6.216 0.484 1.364
-1.360 1.278 6.809
```

---

[6]
DFT (GGA-PBE) results for Nd4GeSe2S after structural relaxation.

Output
ΔE_f (raw): -1.697 eV per atom
space group: Imma

```
Nd4GeSe2S
1.0
8.444 0.003 -0.037
-0.003 8.444 -0.037
-4.202 -4.205 6.008
Nd Ge Se S
8 2 4 2
Cartesian
-2.156 2.128 5.926
4.232 0.074 3.011
0.007 4.168 2.922
6.395 2.114 0.007
2.211 2.126 5.897
4.234 4.151 3.004
0.005 0.092 2.930
2.028 2.116 0.037
-0.001 4.222 -0.019
6.341 2.123 2.948
4.222 0.002 -0.019
2.121 -2.101 2.985
-2.101 -2.102 3.004
0.019 0.019 5.971
2.120 2.121 2.967
-4.205 4.239 5.971
```

---

[7]
DFT (GGA-PBE) results for Nd8GeSe3S3 after structural relaxation.

Output
ΔE_f (raw): -1.691 eV per atom
space group: R-3m

```
Nd8GeSe3S3
1.0
-7.652 -3.137 -0.355
4.356 -0.498 7.021
-2.918 7.404 -2.544
Nd Ge Se S
8 1 3 3
Cartesian
-0.515 0.938 2.826
-5.698 2.831 1.296
-4.324 -0.669 2.608
-1.889 4.438 1.514
-6.479 -0.422 -0.864
0.265 4.191 4.986
-2.694 1.129 -0.688
-3.519 2.640 4.810
-1.459 3.702 -1.272
0.000 0.000 0.000
2.178 -0.249 3.511
-1.648 -1.818 3.333
-5.285 2.133 -1.449
-3.107 1.884 2.061
0.719 3.453 2.238
```

---

[8]
DFT (GGA-PBE) results for Nd4GeSeS2 after structural relaxation.

Output
ΔE_f (raw): -1.728 eV per atom
space group: P2/m

```
Nd4GeSeS2
1.0
4.183 0.000 0.000
0.000 7.197 -0.124
0.000 2.553 6.815
Nd Ge Se S
4 1 1 2
Cartesian
0.000 7.346 4.942
4.183 2.405 1.750
2.092 6.072 1.637
2.092 3.679 5.055
0.000 4.875 3.346
2.092 3.599 -0.062
0.000 2.553 6.815
2.092 1.277 3.408
```

---

[9]
DFT (GGA-PBE) results for Nd8GeSe4S3 after structural relaxation.

Output
ΔE_f (raw): -1.822 eV per atom
space group: R-3m

```
Nd8GeSe4S3
1.0
8.316 0.000 0.000
0.000 8.436 0.079
-4.158 -4.154 5.884
Nd Ge Se S
8 1 4 3
Cartesian
-2.067 2.078 5.867
0.000 4.143 2.942
0.000 0.160 3.052
2.067 2.078 5.867
2.092 2.204 0.095
4.158 4.122 2.910
4.158 0.140 3.020
6.225 2.204 0.095
0.000 4.218 0.039
4.158 0.000 0.000
2.079 -2.077 2.942
0.000 0.000 0.000
-2.079 -2.077 2.942
4.158 4.218 0.039
2.079 2.141 2.981
-2.079 2.141 2.981
```

---

[10]
DFT (GGA-PBE) results for Nd4Ge2SeS after structural relaxation.

Output
ΔE_f (raw): -1.416 eV per atom
space group: P2/m

```
Nd4Ge2SeS
1.0
-0.008 2.197 -3.627
3.484 -5.555 -3.373
-4.950 -4.636 -2.797
Nd Ge Se S
4 2 1 1
Cartesian
-1.052 -7.644 -4.628
-0.422 -0.350 -5.168
1.366 -4.252 -5.057
-2.840 -3.741 -4.738
-4.950 -4.636 -2.797
-2.479 -1.219 -3.212
1.738 -1.679 -3.500
-0.733 -5.095 -3.085
```

---

[11]
DFT (GGA-PBE) results for Nd6Ge2SeS3 after structural relaxation.

Output
ΔE_f (raw): -1.641 eV per atom
space group: C2/m

```
Nd6Ge2SeS3
1.0
4.197 0.000 0.000
0.000 8.364 0.345
-2.098 -2.369 8.793
Nd Ge Se S
6 2 1 3
Cartesian
0.000 6.066 6.127
2.098 4.099 3.128
2.099 -0.072 3.010
0.000 2.173 0.118
2.098 3.822 9.019
0.000 1.895 6.009
2.099 4.003 6.104
0.000 1.991 3.033
2.098 0.000 0.000
2.098 4.182 0.172
2.098 -0.208 5.941
0.000 6.202 3.196
```

---

[12]
DFT (GGA-PBE) results for Nd8Ge3Se4S after structural relaxation.

Output
ΔE_f (raw): -1.565 eV per atom
space group: R-3m

```
Nd8Ge3Se4S
1.0
-1.814 -4.705 6.835
7.904 -3.192 -0.099
-1.165 8.411 0.203
Nd Ge Se S
8 3 4 1
Cartesian
4.232 4.822 1.815
4.812 0.634 1.714
0.992 2.238 1.804
3.329 2.479 5.218
1.596 -1.965 1.721
3.933 -1.724 5.135
0.113 -0.120 5.225
0.693 -4.307 5.124
3.045 -3.948 3.368
2.463 0.257 3.469
3.370 2.610 0.052
-0.907 -2.352 3.417
-1.489 1.853 3.519
0.000 0.000 0.000
-0.582 4.205 0.102
3.952 -1.596 -0.050
```